A relaxed RbLuP2O7 crystal. Source: Alexandria via LeMat-Bulk, functional GGA-PBEsol.

Unit cell a=7.6846 b=10.7241 c=8.6113 alpha=90.00 beta=105.87 gamma=90.00
Closest atoms and distances in Å follow each position.
Space group P2_1/c (No. 14)
Inequivalent atoms, fractional coordinates:
Rb (0.1846, 0.1780, 0.0610) x4  5 O 2.92-3.11
Lu (0.2351, 0.5984, 0.2546) x4  6 O 2.12-2.20
P (0.1303, 0.5990, 0.8205) x4  4 O 1.51-1.62
P (0.4358, 0.6363, 0.6878) x4  4 O 1.52-1.63
O (0.0036, 0.9995, 0.2208) x4  1 P 1.53
O (0.0786, 0.7296, 0.7508) x4  1 P 1.53
O (0.1445, 0.5916, 0.9986) x4  1 P 1.51
O (0.3277, 0.6098, 0.5147) x4  1 P 1.52
O (0.3294, 0.5655, 0.8019) x4  2 P 1.62-1.63
O (0.3770, 0.0768, 0.7679) x4  1 P 1.52
O (0.4481, 0.7259, 0.2343) x4  1 P 1.53

Computed properties:
The energy comes out at -0.5641 Ry/atom.